one | A plane-wave DFT calculation with meta-GGA SCAN was carried out for a PBEsol-optimized structure of Nd.

a = 5.091 Å, b = 5.091 Å, c = 5.091 Å
α = 90.00°, β = 90.00°, γ = 90.00°
Space group Fm-3m (No. 225)
Unique sites:
Nd: 0.000 0.000 0.000

**Calculated volume**: 131.91 Å³/cell
**Density**: 7263 kg/m³

=====

two | A plane-wave DFT calculation with meta-GGA SCAN was carried out for a PBEsol-optimized structure of Nd.

a = 3.6139 Å, b = 3.6139 Å, c = 11.6665 Å
α = 90.00°, β = 90.00°, γ = 120.00°
Space group P6_3/mmc (No. 194)
Unique sites:
Nd: 0.0000 0.0000 0.0000
Nd: 0.3333 0.6667 0.2500

**Calculated volume**: 131.96 Å³/cell
**Density**: 7260 kg/m³

=====

Calculated relative energies: one 1.2; two 0.0, given in kJ/mol of atoms

=====

one | A plane-wave DFT calculation with meta-GGA SCAN was carried out for a PBEsol-optimized structure of Nd2SiTeO4.

a = 6.292 Å, b = 7.160 Å, c = 11.131 Å
α = 90.00°, β = 90.00°, γ = 90.00°
Space group Pbcm (No. 57)
Unique sites:
Nd: 0.111 0.250 0.000
Nd: 0.386 0.538 0.250
Si: 0.387 0.750 0.000
Te: 0.100 0.576 0.750
O: 0.230 0.576 0.037
O: 0.450 0.231 0.616

**Calculated volume**: 501.43 Å³/cell
**Density**: 6731 kg/m³

=====

two | A plane-wave DFT calculation with meta-GGA SCAN was carried out for a PBEsol-optimized structure of Nd2SiTeO4.

a = 9.779 Å, b = 6.401 Å, c = 8.685 Å
α = 90.00°, β = 94.79°, γ = 90.00°
Space group P2_1/c (No. 14)
Unique sites:
Nd: 0.105 0.151 0.193
Nd: 0.348 0.695 0.336
Si: 0.126 0.690 0.057
Te: 0.406 0.211 0.385
O: 0.021 0.191 0.921
O: 0.125 0.634 0.874
O: 0.155 0.509 0.186
O: 0.251 0.639 0.591

**Calculated volume**: 541.77 Å³/cell
**Density**: 6230 kg/m³

=====

Calculated relative energies: one 0.0; two 0.8, given in kJ/mol of atoms

=====

one | A plane-wave DFT calculation with meta-GGA SCAN was carried out for a PBEsol-optimized structure of SrNd2O4.

a = 10.074 Å, b = 10.074 Å, c = 10.074 Å
α = 90.00°, β = 90.00°, γ = 90.00°
Space group Fd-3m (No. 227, origin choice 2)
Unique sites:
Sr: 0.125 0.125 0.125
Nd: 0.000 0.000 0.500
O: 0.015 0.015 0.735

**Calculated volume**: 1022.40 Å³/cell
**Density**: 5718 kg/m³

=====

two | A plane-wave DFT calculation with meta-GGA SCAN was carried out for a PBEsol-optimized structure of SrNd2O4.

a = 9.973 Å, b = 3.575 Å, c = 12.175 Å
α = 90.00°, β = 90.00°, γ = 90.00°
Space group Pnma (No. 62)
Unique sites:
Sr: 0.239 0.250 0.149
Nd: 0.062 0.750 0.382
Nd: 0.102 0.750 0.895
O: 0.010 0.750 0.716
O: 0.061 0.750 0.085
O: 0.146 0.250 0.509
O: 0.226 0.250 0.809

**Calculated volume**: 434.08 Å³/cell
**Density**: 6734 kg/m³

=====

Calculated relative energies: one 3.1; two 0.0, given in kJ/mol of atoms

=====

one | A plane-wave DFT calculation with meta-GGA SCAN was carried out for a PBEsol-optimized structure of NdTa3O9.

a = 5.378 Å, b = 7.535 Å, c = 8.211 Å
α = 90.00°, β = 92.46°, γ = 90.00°
Space group P2_1/m (No. 11)
Unique sites:
Nd: 0.034 0.250 0.434
Ta: 0.000 0.000 0.000
Ta: 0.472 0.007 0.698
O: 0.088 0.250 0.981
O: 0.152 0.558 0.786
O: 0.265 0.539 0.467
O: 0.320 0.549 0.121
O: 0.349 0.250 0.660
O: 0.439 0.250 0.313

**Calculated volume**: 332.48 Å³/cell
**Density**: 8301 kg/m³

=====

two | A plane-wave DFT calculation with meta-GGA SCAN was carried out for a PBEsol-optimized structure of NdTa3O9.

a = 16.610 Å, b = 5.526 Å, c = 9.649 Å
α = 90.00°, β = 125.08°, γ = 90.00°
Space group C2/m (No. 12)
Unique sites:
Nd: 0.171 0.000 0.001
Ta: 0.077 0.500 0.742
Ta: 0.084 0.000 0.249
Ta: 0.248 0.000 0.736
O: 0.000 0.000 0.000
O: 0.000 0.500 0.500
O: 0.011 0.239 0.772
O: 0.164 0.240 0.228
O: 0.165 0.000 0.496
O: 0.175 0.250 0.774
O: 0.177 0.500 0.000

**Calculated volume**: 724.77 Å³/cell
**Density**: 7616 kg/m³

=====

Calculated relative energies: one 0.0; two 3.2, given in kJ/mol of atoms